(1)
UFe2B2 | PBE | optimized geometry

Unit cell a=5.034 b=5.034 c=3.973 alpha=103.25 beta=103.25 gamma=34.85
Positions (direct):
U  0.000  0.000  0.000
Fe  0.347  0.347  0.420
Fe  0.653  0.653  0.580
B  0.264  0.264  0.879
B  0.736  0.736  0.121

Values from the calculation:
The calculation puts the size of the total moment at 0.4 μB per formula unit. For the density of states at the Fermi level, the calculation gives 4.25 states/eV/f.u. Its crystal system is monoclinic. The formation energy is -1.612 eV/f.u.


(2)
U2FeB10 | PBE | optimized geometry

Unit cell a=5.498 b=10.989 c=4.095 alpha=90.00 beta=90.00 gamma=90.00
Positions (direct):
U  0.200  0.134  0.000
U  0.300  0.634  0.000
U  0.700  0.366  0.000
U  0.800  0.866  0.000
Fe  0.000  0.500  0.500
Fe  0.500  0.000  0.500
B  0.032  0.313  0.500
B  0.127  0.962  0.500
B  0.150  0.802  0.500
B  0.202  0.387  0.198
B  0.202  0.387  0.802
B  0.298  0.887  0.198
B  0.298  0.887  0.802
B  0.350  0.302  0.500
B  0.373  0.462  0.500
B  0.468  0.813  0.500
B  0.532  0.187  0.500
B  0.627  0.538  0.500
B  0.650  0.698  0.500
B  0.702  0.113  0.198
B  0.702  0.113  0.802
B  0.798  0.613  0.198
B  0.798  0.613  0.802
B  0.850  0.198  0.500
B  0.873  0.038  0.500
B  0.968  0.687  0.500

Values from the calculation:
The calculation puts the size of the total moment at 2.7 μB per formula unit. For the density of states at the Fermi level, the calculation gives 9.23 states/eV/f.u. Its crystal system is orthorhombic. The formation energy is -5.578 eV/f.u.


(3)
UFe4B | PBE | optimized geometry

Unit cell a=3.786 b=3.786 c=5.978 alpha=90.00 beta=90.06 gamma=90.00
Positions (direct):
U  0.000  0.000  0.000
Fe  0.000  0.500  0.500
Fe  0.500  0.000  0.500
Fe  0.500  0.500  0.180
Fe  0.500  0.500  0.820
B  0.500  0.500  0.500

Values from the calculation:
The calculation puts the size of the total moment at 4.9 μB per formula unit. For the density of states at the Fermi level, the calculation gives 8.24 states/eV/f.u. Its crystal system is monoclinic. The formation energy is 1.596 eV/f.u.


(4)
UFe3B | PBE | optimized geometry

Unit cell a=3.925 b=3.925 c=3.925 alpha=90.00 beta=90.00 gamma=90.00
Positions (direct):
U  0.000  0.000  0.000
Fe  0.000  0.500  0.500
Fe  0.500  0.000  0.500
Fe  0.500  0.500  0.000
B  0.500  0.500  0.500

Values from the calculation:
The calculation puts the size of the total moment at 0.9 μB per formula unit. For the density of states at the Fermi level, the calculation gives 2.53 states/eV/f.u. Its crystal system is cubic. The formation energy is -1.190 eV/f.u.


| no. | E (eV/atom) |
| --- | --- |
| 1 | -8.636 |
| 2 | -7.953 |
| 3 | -8.370 |
| 4 | -8.909 |